# 1
DFT (SCAN) results for Lu2Ga5Ni12 at its PBEsol-relaxed geometry.

Unit cell a=8.149 b=8.281 c=8.281 alpha=120.00 beta=90.00 gamma=90.00
Fractional coordinates of all 38 atoms:
Ni 0.250 0.028 0.353
Ni 0.484 0.834 0.668
Ni 0.750 0.972 0.325
Ni 0.516 0.166 0.332
Ni 0.750 0.353 0.028
Ni 0.016 0.834 0.166
Ni 0.250 0.325 0.353
Ni 0.250 0.647 0.675
Ni 0.250 0.028 0.675
Ni 0.016 0.834 0.668
Ni 0.484 0.834 0.166
Ni 0.984 0.166 0.332
Ni 0.516 0.166 0.834
Ni 0.250 0.647 0.972
Ni 0.984 0.668 0.834
Ni 0.750 0.675 0.028
Ni 0.484 0.332 0.166
Ni 0.750 0.972 0.647
Ni 0.516 0.668 0.834
Ni 0.984 0.166 0.834
Ni 0.750 0.353 0.325
Ni 0.250 0.325 0.972
Ni 0.750 0.675 0.647
Ni 0.016 0.332 0.166
Ga 0.605 0.667 0.333
Ga 0.500 0.500 0.000
Ga 0.500 0.500 0.500
Ga 0.000 0.000 0.500
Ga 0.105 0.333 0.667
Ga 0.395 0.333 0.667
Ga 0.500 0.000 0.500
Ga 0.000 0.500 0.000
Ga 0.000 0.500 0.500
Ga 0.895 0.667 0.333
Lu 0.750 0.333 0.667
Lu 0.250 0.667 0.333
Lu 0.250 0.000 0.000
Lu 0.750 0.000 0.000

Output
calculated total energy	-0.7598	hartree per atom
formation enthalpy at 0 K	-7.678	kcal/mol of atoms
calculated volume	12.7	A^3/atom
M_tot	0.0	μB per cell
SG	No. 194
crystal system	hexagonal
mass density	9.63	Mg/m³

***

# 2
DFT (SCAN) results for Lu4Ga12Ni at its PBEsol-relaxed geometry.

Unit cell a=7.228 b=7.228 c=7.228 alpha=109.47 beta=109.47 gamma=109.47
Fractional coordinates of all 17 atoms:
Ga 0.500 0.250 0.750
Ga 0.287 0.287 0.000
Ga 0.750 0.250 0.500
Ga 0.713 0.713 0.000
Ga 0.750 0.500 0.250
Ga 0.250 0.500 0.750
Ga 0.250 0.750 0.500
Ga 0.500 0.750 0.250
Ga 0.287 0.000 0.287
Ga 0.713 0.000 0.713
Ga 0.000 0.713 0.713
Ga 0.000 0.287 0.287
Lu 0.000 0.500 0.000
Lu 0.000 0.000 0.500
Lu 0.500 0.000 0.000
Lu 0.500 0.500 0.500
Ni 0.000 0.000 0.000

Output
calculated total energy	-0.9597	hartree per atom
formation enthalpy at 0 K	-13.891	kcal/mol of atoms
calculated volume	17.1	A^3/atom
M_tot	0.0	μB per cell
SG	No. 229
crystal system	cubic
mass density	9.11	Mg/m³

***

# 3
DFT (SCAN) results for LuGa2Pd at its PBEsol-relaxed geometry.

Unit cell a=4.313 b=5.384 c=6.467 alpha=90.00 beta=90.00 gamma=113.61
Fractional coordinates of all 8 atoms:
Ga 0.373 0.745 0.948
Ga 0.627 0.255 0.448
Ga 0.373 0.745 0.552
Ga 0.627 0.255 0.052
Lu 0.087 0.173 0.750
Lu 0.913 0.827 0.250
Pd 0.201 0.403 0.250
Pd 0.799 0.597 0.750

Output
calculated total energy	-1.1430	hartree per atom
formation enthalpy at 0 K	-20.746	kcal/mol of atoms
calculated volume	17.2	A^3/atom
M_tot	0.0	μB per cell
SG	No. 63
crystal system	orthorhombic
mass density	10.16	Mg/m³

***

# 4
DFT (SCAN) results for Lu3Ga8Rh3 at its PBEsol-relaxed geometry.

Unit cell a=4.085 b=7.982 c=7.982 alpha=73.72 beta=75.17 gamma=75.17
Fractional coordinates of all 14 atoms:
Ga 0.624 0.093 0.659
Ga 0.171 0.200 0.458
Ga 0.624 0.659 0.093
Ga 0.829 0.542 0.800
Ga 0.171 0.458 0.200
Ga 0.829 0.800 0.542
Ga 0.376 0.341 0.907
Ga 0.376 0.907 0.341
Lu 0.832 0.168 0.168
Lu 0.168 0.832 0.832
Lu 0.500 0.500 0.500
Rh 0.500 0.000 0.000
Rh 0.000 0.222 0.778
Rh 0.000 0.778 0.222

Output
calculated total energy	-1.0745	hartree per atom
formation enthalpy at 0 K	-18.467	kcal/mol of atoms
calculated volume	16.9	A^3/atom
M_tot	0.0	μB per cell
SG	No. 71
crystal system	orthorhombic
mass density	9.76	Mg/m³

***

# 5
DFT (SCAN) results for Lu2GaRu at its PBEsol-relaxed geometry.

Unit cell a=4.745 b=4.745 c=4.745 alpha=60.00 beta=60.00 gamma=60.00
Fractional coordinates of all 4 atoms:
Ga 0.000 0.000 0.000
Ru 0.500 0.500 0.500
Lu 0.250 0.250 0.250
Lu 0.750 0.750 0.750

Output
calculated total energy	-1.5108	hartree per atom
formation enthalpy at 0 K	-14.911	kcal/mol of atoms
calculated volume	18.9	A^3/atom
M_tot	0.0	μB per cell
SG	No. 225
crystal system	cubic
mass density	11.44	Mg/m³

***

# 6
DFT (SCAN) results for LuTi2Ga4 at its PBEsol-relaxed geometry.

Unit cell a=5.367 b=5.389 c=5.389 alpha=75.64 beta=60.13 gamma=60.13
Fractional coordinates of all 7 atoms:
Ga 0.698 0.000 0.605
Ga 0.302 0.000 0.395
Ga 0.698 0.605 0.000
Ga 0.302 0.395 0.000
Lu 0.000 0.000 0.000
Ti 0.250 0.500 0.500
Ti 0.750 0.500 0.500

Output
calculated total energy	-0.8252	hartree per atom
formation enthalpy at 0 K	-14.500	kcal/mol of atoms
calculated volume	16.7	A^3/atom
M_tot	0.0	μB per cell
SG	No. 139
crystal system	tetragonal
mass density	7.78	Mg/m³